Record 1
Here is a relaxed Sr2Ca5Tl3 crystal from Alexandria. Energies are from PBE.

Output
Its spin magnetization is 0.00 μB per formula unit. As for the energy relative to the elements: -0.26 eV per atom. As for the final energy: -2.30 eV/atom.

a b c (Å): 13.4239 16.1843 6.9602
angles (deg): 90.00 102.13 90.00
Last column: nearest neighbours and their distance in Å.
Space group C2/c (No. 15)
Symmetry-distinct sites (fractional):
1 Sr 0.1090 0.2017 0.0443  3 Tl 3.51-3.73, 3 Ca 3.80-3.93
2 Ca 0.0000 0.0025 0.2500  4 Tl 3.28-3.37, 2 Ca 3.48
3 Ca 0.1305 0.3335 0.5322  3 Tl 3.26-3.39, 1 Ca 3.52
4 Ca 0.2068 0.4585 0.0916  3 Tl 3.19-3.39, 1 Ca 3.52
5 Tl 0.0000 0.4715 0.7500  6 Ca 3.26-3.39, 2 Tl 3.60
6 Tl 0.1438 0.1305 0.5522  5 Ca 3.19-3.37, 1 Sr 3.51

Record 2
Here is a relaxed EuVS3 crystal from Alexandria. Energies are from PBE.

Output
Its spin magnetization is 6.54 μB per formula unit. As for the final energy: -7.51 eV/atom.

a b c (Å): 4.6445 4.6445 4.6445
angles (deg): 90.00 90.00 90.00
Last column: nearest neighbours and their distance in Å.
Space group Pm-3m (No. 221)
Symmetry-distinct sites (fractional):
1 Eu 0.0000 0.0000 0.0000  12 S 3.28
2 V 0.5000 0.5000 0.5000  6 S 2.32
3 S 0.0000 0.5000 0.5000  2 V 2.32

Record 3
Here is a relaxed HoMg5In6 crystal from Alexandria. Energies are from PBE.

Output
Its spin magnetization is 0.00 μB per formula unit. As for the energy relative to the elements: -0.16 eV per atom. As for the final energy: -2.58 eV/atom.

a b c (Å): 9.8555 14.0696 4.6262
angles (deg): 90.00 117.45 90.00
Last column: nearest neighbours and their distance in Å.
Space group C2/m (No. 12)
Symmetry-distinct sites (fractional):
1 Ho 0.0000 0.0000 0.0000  8 In 3.20-3.23, 4 Mg 3.34
2 Mg 0.0000 0.1714 0.5000  8 In 3.14-3.27, 2 Mg 3.24, 2 Ho 3.34
3 Mg 0.0000 0.3326 0.0000  8 In 3.17-3.21, 4 Mg 3.24-3.30
4 Mg 0.0000 0.5000 0.5000  8 In 3.14-3.23, 4 Mg 3.30
5 In 0.2467 0.5000 0.2505  6 Mg 3.14-3.27, 2 Ho 3.20-3.21, 4 In 3.31-3.32
6 In 0.2494 0.1691 0.2478  7 Mg 3.14-3.23, 1 Ho 3.23, 4 In 3.24-3.32

- Which value of spin magnetization does entry 3 give?
  0.00 μB per formula unit